A plane-wave DFT calculation with PBE was carried out for crystalline Er7Sb2Os2 at its relaxed geometry.

Output
Spin magnetization   0.000 μB/atom
ΔE_f (raw)   -548 meV per atom
N(E_F)   7.8 states/eV/f.u.

Cell and atoms, written as CIF:
```
data_Er7Sb2Os2
_chemical_formula_sum 'Er14 Sb4 Os4'
_cell_length_a 4.0808
_cell_length_b 15.6042
_cell_length_c 9.0115
_cell_angle_alpha 90.00
_cell_angle_beta 90.00
_cell_angle_gamma 90.00
_symmetry_space_group_name_H-M 'I m m 2'
_symmetry_Int_Tables_number 44
loop_
_symmetry_equiv_pos_as_xyz
'x,y,z'
'-x,-y,z'
'-x,y,z'
'x,-y,z'
'x+1/2,y+1/2,z+1/2'
'-x+1/2,-y+1/2,z+1/2'
'-x+1/2,y+1/2,z+1/2'
'x+1/2,-y+1/2,z+1/2'
loop_
_atom_site_label
_atom_site_type_symbol
_atom_site_fract_x
_atom_site_fract_y
_atom_site_fract_z
_atom_site_occupancy
Er1 Er 0.0000 0.0000 0.0000 1
Er2 Er 0.0000 0.1305 0.4075 1
Er3 Er 0.0000 0.3140 0.6208 1
Er4 Er 0.0000 0.3483 0.2452 1
Sb1 Sb 0.0000 0.0000 0.6667 1
Sb2 Sb 0.0000 0.5000 0.7513 1
Os1 Os 0.0000 0.2404 0.9303 1
```



A plane-wave DFT calculation with PBE was carried out for crystalline ErSc2Os at its relaxed geometry.

Output
Spin magnetization   0.001 μB/atom
N(E_F)   6.0 states/eV/f.u.
Formation energy   0.136 eV per atom
Relative energy among the computed polymorphs   430.5 meV per atom

Cell and atoms, written as CIF:
```
data_ErSc2Os
_chemical_formula_sum 'Er3 Sc6 Os3'
_cell_length_a 3.1741
_cell_length_b 3.1741
_cell_length_c 31.3845
_cell_angle_alpha 90.00
_cell_angle_beta 90.00
_cell_angle_gamma 120.00
_symmetry_space_group_name_H-M 'R -3 m'
_symmetry_Int_Tables_number 166
_symmetry_space_group_name_Hall '-R 3 2"'
loop_
_atom_site_label
_atom_site_type_symbol
_atom_site_fract_x
_atom_site_fract_y
_atom_site_fract_z
_atom_site_occupancy
Er1 Er 0.0000 0.0000 0.0000 1
Sc1 Sc 0.0000 0.0000 0.1031 1
Os1 Os 0.0000 0.0000 0.5000 1
```



A plane-wave DFT calculation with PBE was carried out for crystalline Er4Sc3Os2 at its relaxed geometry.

Output
Spin magnetization   0.000 μB/atom
N(E_F)   7.7 states/eV/f.u.
Formation energy   -0.202 eV per atom

Cell and atoms, written as CIF:
```
data_Er4Sc3Os2
_chemical_formula_sum 'Er8 Sc6 Os4'
_cell_length_a 15.6015
_cell_length_b 4.1396
_cell_length_c 7.3954
_cell_angle_alpha 90.00
_cell_angle_beta 109.30
_cell_angle_gamma 90.00
_symmetry_space_group_name_H-M 'C 1 2/m 1'
_symmetry_Int_Tables_number 12
loop_
_symmetry_equiv_pos_as_xyz
'x,y,z'
'-x,-y,-z'
'-x,y,-z'
'x,-y,z'
'x+1/2,y+1/2,z'
'-x+1/2,-y+1/2,-z'
'-x+1/2,y+1/2,-z'
'x+1/2,-y+1/2,z'
loop_
_atom_site_label
_atom_site_type_symbol
_atom_site_fract_x
_atom_site_fract_y
_atom_site_fract_z
_atom_site_occupancy
Er1 Er 0.0876 0.0000 0.3466 1
Er2 Er 0.2247 0.5000 0.1712 1
Sc1 Sc 0.0000 0.5000 0.0000 1
Sc2 Sc 0.0935 0.5000 0.6999 1
Os1 Os 0.1068 0.0000 0.9403 1
```